Below is Er2Mo4O15 after structural relaxation, with properties calculated at the PBE+U level.

Cell lengths 6.880, 9.668, 10.737 Å; angles 90.00, 104.86, 90.00 degrees
Space group P2_1/c (No. 14)
Asymmetric unit:
Er 0.206 0.023 0.275 [4 per cell]
Mo 0.079 0.743 0.009 [4 per cell]
Mo 0.384 0.095 0.843 [4 per cell]
O 0.030 0.126 0.400 [4 per cell]
O 0.116 0.163 0.101 [4 per cell]
O 0.125 0.052 0.813 [4 per cell]
O 0.219 0.651 0.916 [4 per cell]
O 0.243 0.636 0.618 [4 per cell]
O 0.384 0.222 0.348 [4 per cell]
O 0.457 0.027 0.708 [4 per cell]
O 0.500 0.000 0.000 [2 per cell]

Output
The value obtained for the final energy is -7.46 eV per atom. The calculation puts the density of states at the Fermi level at 0.0 states/eV/f.u.